Below is an optimized crystal structure of ZrCoBiAu, with properties calculated at the PBE level.

abc: 4.7921 4.7921 4.7921
angles: 60.00 60.00 60.00
Each line ends with the local moment (μB).
Atoms (fractional coordinates):
Au 0.2500 0.2500 0.2500  0.00
Bi 0.0000 0.0000 0.0000  0.00
Co 0.7500 0.7500 0.7500  0.34
Zr 0.5000 0.5000 0.5000  -0.07

Summary:
**Total magnetization**: 0.056 μB/atom
**SG**: F-43m, No. 216
**Polymorph energy (0 for the lowest one)**: 0 meV/atom
**VASP energy**: -22.8 eV/cell

=====

Below is an optimized crystal structure of RbPdO3, with properties calculated at the PBE level.

abc: 5.4149 5.4149 6.9452
angles: 67.06 67.06 60.00
Atoms (fractional coordinates):
O 0.9539 0.5579 0.3210
O 0.1673 0.9539 0.3210
O 0.5579 0.1673 0.3210
O 0.4421 0.8327 0.6790
O 0.8327 0.0461 0.6790
O 0.0461 0.4421 0.6790
Pd 0.8342 0.8342 0.4974
Pd 0.1658 0.1658 0.5026
Rb 0.6408 0.6408 0.0776
Rb 0.3592 0.3592 0.9224

Summary:
**SG**: R-3, No. 148
**VASP energy**: -47.8 eV/cell

=====

Below is an optimized crystal structure of UC6, with properties calculated at the PBE level.

abc: 4.3241 4.3241 4.5200
angles: 90.00 90.00 120.00
Each line ends with the local moment (μB).
Atoms (fractional coordinates):
C 0.3325 0.0000 0.5000  -0.01
C 0.6675 0.0000 0.5000  -0.01
C 0.0000 0.3325 0.5000  -0.01
C 0.3325 0.3325 0.5000  -0.01
C 0.0000 0.6675 0.5000  -0.01
C 0.6675 0.6675 0.5000  -0.01
U 0.0000 0.0000 0.0000  2.38

Summary:
**Total magnetization**: 0.385 μB/atom
**SG**: P6/mmm, No. 191
**VASP energy**: -65.3 eV/cell

=====

Below is an optimized crystal structure of PmI, with properties calculated at the PBE level.

abc: 4.4690 4.4690 4.4690
angles: 60.00 60.00 60.00
Atoms (fractional coordinates):
I 0.0000 0.0000 0.0000
Pm 0.5000 0.5000 0.5000

Summary:
**Total magnetization**: 0.002 μB/atom
**SG**: Fm-3m, No. 225
**Polymorph energy (0 for the lowest one)**: 282 meV/atom
**VASP energy**: -7.5 eV/cell

=====

Below is an optimized crystal structure of AlZnNO, with properties calculated at the PBE level.

abc: 3.4739 3.4739 6.9299
angles: 90.00 90.00 90.00
Atoms (fractional coordinates):
Al 0.2500 0.2500 0.1076
Al 0.7500 0.7500 0.8924
N 0.7500 0.7500 0.3271
N 0.2500 0.2500 0.6729
O 0.7500 0.2500 0.0000
O 0.2500 0.7500 0.0000
Zn 0.7500 0.2500 0.5000
Zn 0.2500 0.7500 0.5000

Summary:
**SG**: P4/nmm, No. 129
**Polymorph energy (0 for the lowest one)**: 779 meV/atom
**VASP energy**: -42.2 eV/cell

=====

Below is an optimized crystal structure of TbGdZn, with properties calculated at the PBE level.

abc: 4.9603 4.9603 4.9603
angles: 60.00 60.00 60.00
Atoms (fractional coordinates):
Gd 0.2500 0.2500 0.2500
Tb 0.7500 0.7500 0.7500
Zn 0.0000 0.0000 0.0000

Summary:
**Total magnetization**: 0.006 μB/atom
**SG**: F-43m, No. 216
**Polymorph energy (0 for the lowest one)**: 109 meV/atom
**VASP energy**: -10.5 eV/cell

=====

Which of these has the highest VASP energy?
PmI

=====

The highest VASP energy belongs to which entry?
PmI

=====

Among the records above, which one has the lowest VASP energy?
UC6